Here is NaTaHg after structural relaxation from the Alexandria database. Energies are from PBE.

Values from the calculation:
Relative energy among the computed polymorphs: 1679 meV/atom
V: 104.90 Å³/f.u.
Mass density: 6.40 Mg/m³
Calculated formation energy: 1.834 eV per atom
Total energy: -2.6575 eV/atom

Cell and atoms, written as CIF:
```
data_NaTaHg
_chemical_formula_sum 'Na2 Ta2 Hg2'
_cell_length_a 4.6876
_cell_length_b 4.6876
_cell_length_c 11.0248
_cell_angle_alpha 90.00
_cell_angle_beta 90.00
_cell_angle_gamma 120.00
_symmetry_space_group_name_H-M 'P 63/m m c'
_symmetry_Int_Tables_number 194
_symmetry_space_group_name_Hall '-P 6c 2c'
loop_
_atom_site_label
_atom_site_fract_x
_atom_site_fract_y
_atom_site_fract_z
Na1 0.3333 0.6667 0.2500
Ta1 0.0000 0.0000 0.0000
Hg1 0.0000 0.0000 0.2500
```